## NaThAg2Se4 (PBE-GGA)

Data for NaThAg2Se4 after structural relaxation.

Cell: 7.373 6.463 6.463 Å, 67.43 55.23 55.23°
Element x y z (fractional)
1 Na 0.500 0.500 0.500
2 Th 0.000 0.000 0.000
3 Ag 0.191 0.309 0.309
4 Ag 0.809 0.691 0.691
5 Se 0.434 0.031 0.567
6 Se 0.033 0.969 0.433
7 Se 0.967 0.567 0.031
8 Se 0.566 0.433 0.969

## Properties
The total magnetic moment is 0.0 μB per formula unit. The raw formation energy comes out at -755 meV per atom. As for the calculated total energy: -4.302 eV per atom.